Compound: LiPuMgPt
Source: the Alexandria database
Functional: PBE
Structure: relaxed

Cell and atoms, written as POSCAR:
```
LiPuMgPt
1.0
4.814 0.000 0.000
2.407 4.169 0.000
2.407 1.390 3.930
Li Pt Pu Mg
1 1 1 1
Cartesian
7.221 4.169 2.948
2.407 1.390 0.983
0.000 0.000 0.000
4.814 2.779 1.965
```

Output
For the formation enthalpy at 0 K, the calculation gives -0.418 eV per atom. The space group is No. 216. The value obtained for the density of states at the Fermi level is 6.34 states/eV per cell.